Model a:
Fe2NiHPt: relaxed, PBE.

POSCAR file:
```
Fe2NiHPt
1.0
-0.172 0.080 -3.729
-1.270 -3.511 -0.016
-3.536 1.279 0.191
Ni Fe Pt H
1 2 1 1
Direct
0.000 0.000 0.500
0.000 0.500 0.000
0.500 0.000 0.000
0.500 0.500 0.500
0.000 0.000 0.000
```

Summary:
Size of the total moment, μB per formula unit: 6.32
D(E_F), states/eV per atom: 0.52
Space group: P4/mmm, No. 123



Model b:
Fe2NiHPt: relaxed, PBE.

POSCAR file:
```
Fe2NiHPt
1.0
3.737 0.000 0.000
0.000 3.737 0.000
0.000 0.000 3.829
Ni Fe Pt H
1 2 1 1
Direct
0.500 0.500 0.500
0.000 0.500 0.000
0.500 0.000 0.000
0.000 0.000 0.500
0.000 0.000 0.000
```

Summary:
Size of the total moment, μB per formula unit: 6.51
D(E_F), states/eV per atom: 0.53
Space group: P4/mmm, No. 123



Relative energy of each structure, in meV per atom: model a 0; model b 68.



Model a:
Fe2ReNiH: relaxed, PBE.

POSCAR file:
```
Fe2ReNiH
1.0
3.684 0.000 0.000
0.000 3.684 0.000
0.000 0.000 3.567
Re Fe H Ni
1 2 1 1
Direct
0.500 0.500 0.500
0.000 0.500 0.000
0.500 0.000 0.000
0.000 0.000 0.000
0.000 0.000 0.500
```

Summary:
Size of the total moment, μB per formula unit: 1.77
D(E_F), states/eV per atom: 0.97
Space group: P4/mmm, No. 123



Model b:
Fe2ReNiH: relaxed, PBE.

POSCAR file:
```
Fe2ReNiH
1.0
3.633 0.000 0.000
0.000 3.633 0.000
0.000 0.000 3.807
Re Fe H Ni
1 2 1 1
Direct
0.000 0.000 0.500
0.000 0.500 0.000
0.500 0.000 0.000
0.000 0.000 0.000
0.500 0.500 0.500
```

Summary:
Size of the total moment, μB per formula unit: 3.39
D(E_F), states/eV per atom: 1.24
Space group: P4/mmm, No. 123



Relative energy of each structure, in meV per atom: model a 0; model b 49.



Model a:
FeNi2HRh: relaxed, PBE.

POSCAR file:
```
FeNi2HRh
1.0
3.676 0.000 0.000
0.000 3.676 0.000
0.000 0.000 3.796
Ni Rh Fe H
2 1 1 1
Direct
0.000 0.500 0.000
0.500 0.000 0.000
0.000 0.000 0.500
0.500 0.500 0.500
0.000 0.000 0.000
```

Summary:
Size of the total moment, μB per formula unit: 4.99
D(E_F), states/eV per atom: 0.60
Space group: P4/mmm, No. 123



Model b:
FeNi2HRh: relaxed, PBE.

POSCAR file:
```
FeNi2HRh
1.0
-0.803 0.637 3.477
-3.195 -1.657 -0.435
1.605 -3.354 0.985
Ni Rh Fe H
2 1 1 1
Direct
0.000 0.500 0.000
0.500 0.000 0.000
0.500 0.500 0.500
0.000 0.000 0.500
0.000 0.000 0.000
```

Summary:
Size of the total moment, μB per formula unit: 4.66
D(E_F), states/eV per atom: 0.93
Space group: P4/mmm, No. 123



Relative energy of each structure, in meV per atom: model a 0; model b 51.



Model a:
Fe2NiHRu: relaxed, PBE.

POSCAR file:
```
Fe2NiHRu
1.0
-1.445 -2.375 -2.435
3.366 -1.380 -0.651
-0.495 -2.491 2.723
Ru Fe H Ni
1 2 1 1
Direct
0.000 0.000 0.500
0.000 0.500 0.000
0.500 0.000 0.000
0.000 0.000 0.000
0.500 0.500 0.500
```

Summary:
Size of the total moment, μB per formula unit: 5.50
D(E_F), states/eV per atom: 1.03
Space group: P4/mmm, No. 123



Model b:
Fe2NiHRu: relaxed, PBE.

POSCAR file:
```
Fe2NiHRu
1.0
3.700 0.000 0.000
0.000 3.700 0.000
0.000 0.000 3.629
Ru Fe H Ni
1 2 1 1
Direct
0.500 0.500 0.500
0.000 0.500 0.000
0.500 0.000 0.000
0.000 0.000 0.000
0.000 0.000 0.500
```

Summary:
Size of the total moment, μB per formula unit: 4.95
D(E_F), states/eV per atom: 1.06
Space group: P4/mmm, No. 123



Relative energy of each structure, in meV per atom: model a 0; model b 7.



Model a:
FeNiHRu2: relaxed, PBE.

POSCAR file:
```
FeNiHRu2
1.0
3.850 0.000 0.000
0.000 3.850 0.000
0.000 0.000 3.604
Ru Fe H Ni
2 1 1 1
Direct
0.000 0.500 0.000
0.500 0.000 0.000
0.500 0.500 0.500
0.000 0.000 0.000
0.000 0.000 0.500
```

Summary:
Size of the total moment, μB per formula unit: 3.09
D(E_F), states/eV per atom: 0.69
Space group: P4/mmm, No. 123



Model b:
FeNiHRu2: relaxed, PBE.

POSCAR file:
```
FeNiHRu2
1.0
3.807 0.000 0.000
0.000 3.807 0.000
0.000 0.000 3.677
Ru Fe H Ni
2 1 1 1
Direct
0.000 0.500 0.000
0.500 0.000 0.000
0.000 0.000 0.500
0.000 0.000 0.000
0.500 0.500 0.500
```

Summary:
Size of the total moment, μB per formula unit: 2.73
D(E_F), states/eV per atom: 0.93
Space group: P4/mmm, No. 123



Relative energy of each structure, in meV per atom: model a 0; model b 30.



Model a:
TaFeNi2H: relaxed, PBE.

POSCAR file:
```
TaFeNi2H
1.0
-1.949 -2.086 2.216
2.960 -1.911 0.804
0.761 2.419 2.946
Ni Fe H Ta
2 1 1 1
Direct
0.000 0.500 0.000
0.500 0.000 0.000
0.000 0.000 0.500
0.000 0.000 0.000
0.500 0.500 0.500
```

Summary:
Size of the total moment, μB per formula unit: 0.00
D(E_F), states/eV per atom: 0.12
Space group: P4/mmm, No. 123



Model b:
TaFeNi2H: relaxed, PBE.

POSCAR file:
```
TaFeNi2H
1.0
3.564 0.000 0.000
0.000 3.564 0.000
0.000 0.000 4.067
Ni Fe H Ta
2 1 1 1
Direct
0.000 0.500 0.000
0.500 0.000 0.000
0.500 0.500 0.500
0.000 0.000 0.000
0.000 0.000 0.500
```

Summary:
Size of the total moment, μB per formula unit: 0.00
D(E_F), states/eV per atom: 0.56
Space group: P4/mmm, No. 123



Relative energy of each structure, in meV per atom: model a 0; model b 82.



Model a:
TaFe2NiH: relaxed, PBE.

POSCAR file:
```
TaFe2NiH
1.0
-0.824 0.718 -3.479
2.161 -2.733 -1.076
-3.027 -2.474 0.206
Ni Fe H Ta
1 2 1 1
Direct
0.500 0.500 0.500
0.000 0.500 0.000
0.500 0.000 0.000
0.000 0.000 0.000
0.000 0.000 0.500
```

Summary:
Size of the total moment, μB per formula unit: 1.96
D(E_F), states/eV per atom: 0.54
Space group: P4/mmm, No. 123



Model b:
TaFe2NiH: relaxed, PBE.

POSCAR file:
```
TaFe2NiH
1.0
-1.905 -0.982 3.075
-2.960 -0.892 -2.119
1.230 -3.351 -0.307
Ni Fe H Ta
1 2 1 1
Direct
0.000 0.000 0.500
0.000 0.500 0.000
0.500 0.000 0.000
0.000 0.000 0.000
0.500 0.500 0.500
```

Summary:
Size of the total moment, μB per formula unit: 0.00
D(E_F), states/eV per atom: 0.72
Space group: P4/mmm, No. 123



Model c:
TaFe2NiH: relaxed, PBE.

POSCAR file:
```
TaFe2NiH
1.0
-1.595 1.545 -3.737
-2.959 -3.475 -0.174
-2.902 2.360 2.214
Ni Fe H Ta
1 2 1 1
Direct
0.000 0.000 0.000
0.000 0.000 0.500
0.500 0.000 0.000
0.500 0.500 0.500
0.000 0.500 0.000
```

Summary:
Size of the total moment, μB per formula unit: 6.01
D(E_F), states/eV per atom: 0.95
Space group: P4/mmm, No. 123



Relative energy of each structure, in meV per atom: model a 50; model b 0; model c 1662.



Model a:
Fe2TcNiH: relaxed, PBE.

POSCAR file:
```
Fe2TcNiH
1.0
-2.761 -1.402 -1.931
1.851 -3.122 -0.379
-1.562 -1.314 3.188
Ni Tc H Fe
1 1 1 2
Direct
0.500 0.500 0.500
0.000 0.000 0.500
0.000 0.000 0.000
0.000 0.500 0.000
0.500 0.000 0.000
```

Summary:
Size of the total moment, μB per formula unit: 4.10
D(E_F), states/eV per atom: 1.05
Space group: P4/mmm, No. 123



Model b:
Fe2TcNiH: relaxed, PBE.

POSCAR file:
```
Fe2TcNiH
1.0
3.668 0.000 0.000
0.000 3.668 0.000
0.000 0.000 3.602
Ni Tc H Fe
1 1 1 2
Direct
0.000 0.000 0.500
0.500 0.500 0.500
0.000 0.000 0.000
0.000 0.500 0.000
0.500 0.000 0.000
```

Summary:
Size of the total moment, μB per formula unit: 2.44
D(E_F), states/eV per atom: 1.22
Space group: P4/mmm, No. 123



Relative energy of each structure, in meV per atom: model a 6; model b 0.



Model a:
FeTc2NiH: relaxed, PBE.

POSCAR file:
```
FeTc2NiH
1.0
3.816 0.000 0.000
0.000 3.816 0.000
0.000 0.000 3.711
Ni Tc H Fe
1 2 1 1
Direct
0.500 0.500 0.500
0.000 0.500 0.000
0.500 0.000 0.000
0.000 0.000 0.000
0.000 0.000 0.500
```

Summary:
Size of the total moment, μB per formula unit: 2.06
D(E_F), states/eV per atom: 0.98
Space group: P4/mmm, No. 123



Model b:
FeTc2NiH: relaxed, PBE.

POSCAR file:
```
FeTc2NiH
1.0
3.858 0.000 0.000
0.000 3.858 0.000
0.000 0.000 3.635
Ni Tc H Fe
1 2 1 1
Direct
0.000 0.000 0.500
0.000 0.500 0.000
0.500 0.000 0.000
0.000 0.000 0.000
0.500 0.500 0.500
```

Summary:
Size of the total moment, μB per formula unit: 2.21
D(E_F), states/eV per atom: 0.76
Space group: P4/mmm, No. 123



Relative energy of each structure, in meV per atom: model a 17; model b 0.



Model a:
TiFeNi2H: relaxed, PBE.

POSCAR file:
```
TiFeNi2H
1.0
3.590 0.000 0.000
0.000 3.590 0.000
0.000 0.000 3.805
Ni Fe H Ti
2 1 1 1
Direct
0.000 0.500 0.000
0.500 0.000 0.000
0.000 0.000 0.500
0.000 0.000 0.000
0.500 0.500 0.500
```

Summary:
Size of the total moment, μB per formula unit: 0.88
D(E_F), states/eV per atom: 0.69
Space group: P4/mmm, No. 123



Model b:
TiFeNi2H: relaxed, PBE.

POSCAR file:
```
TiFeNi2H
1.0
-3.105 -0.874 1.483
0.354 -3.317 -1.214
1.883 -1.022 3.341
Ni Fe H Ti
2 1 1 1
Direct
0.000 0.500 0.000
0.500 0.000 0.000
0.500 0.500 0.500
0.000 0.000 0.000
0.000 0.000 0.500
```

Summary:
Size of the total moment, μB per formula unit: 1.31
D(E_F), states/eV per atom: 0.70
Space group: P4/mmm, No. 123



Relative energy of each structure, in meV per atom: model a 0; model b 36.



Model a:
VFeNi2H: relaxed, PBE.

POSCAR file:
```
VFeNi2H
1.0
3.532 0.000 0.000
0.000 3.532 0.000
0.000 0.000 3.871
Ni Fe H V
2 1 1 1
Direct
0.000 0.500 0.000
0.500 0.000 0.000
0.500 0.500 0.500
0.000 0.000 0.000
0.000 0.000 0.500
```

Summary:
Size of the total moment, μB per formula unit: 0.35
D(E_F), states/eV per atom: 0.80
Space group: P4/mmm, No. 123



Model b:
VFeNi2H: relaxed, PBE.

POSCAR file:
```
VFeNi2H
1.0
-2.727 2.244 0.110
-1.807 -2.294 1.990
1.426 1.579 3.115
Ni Fe H V
2 1 1 1
Direct
0.000 0.500 0.000
0.500 0.000 0.000
0.000 0.000 0.500
0.000 0.000 0.000
0.500 0.500 0.500
```

Summary:
Size of the total moment, μB per formula unit: 0.04
D(E_F), states/eV per atom: 0.53
Space group: P4/mmm, No. 123



Relative energy of each structure, in meV per atom: model a 14; model b 0.



Model a:
VFe2NiH: relaxed, PBE.

POSCAR file:
```
VFe2NiH
1.0
-1.449 0.439 -3.327
-3.340 -0.547 1.382
-0.322 3.485 0.601
Ni Fe H V
1 2 1 1
Direct
0.000 0.000 0.500
0.000 0.500 0.000
0.500 0.000 0.000
0.000 0.000 0.000
0.500 0.500 0.500
```

Summary:
Size of the total moment, μB per formula unit: 1.85
D(E_F), states/eV per atom: 0.49
Space group: P4/mmm, No. 123



Model b:
VFe2NiH: relaxed, PBE.

POSCAR file:
```
VFe2NiH
1.0
3.579 0.000 0.000
0.000 3.579 0.000
0.000 0.000 3.725
Ni Fe H V
1 2 1 1
Direct
0.500 0.500 0.500
0.000 0.500 0.000
0.500 0.000 0.000
0.000 0.000 0.000
0.000 0.000 0.500
```

Summary:
Size of the total moment, μB per formula unit: 1.95
D(E_F), states/eV per atom: 0.57
Space group: P4/mmm, No. 123



Relative energy of each structure, in meV per atom: model a 0; model b 26.



Model a:
FeNiHW2: relaxed, PBE.

POSCAR file:
```
FeNiHW2
1.0
-0.739 -3.295 -1.986
3.846 -0.693 -0.282
-0.106 -1.861 3.128
Ni Fe W H
1 1 2 1
Direct
0.500 0.500 0.500
0.000 0.000 0.500
0.000 0.500 0.000
0.500 0.000 0.000
0.000 0.000 0.000
```

Summary:
Size of the total moment, μB per formula unit: 0.73
D(E_F), states/eV per atom: 0.69
Space group: P4/mmm, No. 123



Model b:
FeNiHW2: relaxed, PBE.

POSCAR file:
```
FeNiHW2
1.0
3.902 0.000 0.000
0.000 3.902 0.000
0.000 0.000 3.663
Ni Fe W H
1 1 2 1
Direct
0.000 0.000 0.500
0.500 0.500 0.500
0.000 0.500 0.000
0.500 0.000 0.000
0.000 0.000 0.000
```

Summary:
Size of the total moment, μB per formula unit: 0.00
D(E_F), states/eV per atom: 0.60
Space group: P4/mmm, No. 123



Relative energy of each structure, in meV per atom: model a 0; model b 27.



Model a:
ZnFeNi2H: relaxed, PBE.

POSCAR file:
```
ZnFeNi2H
1.0
3.589 0.000 0.000
0.000 3.589 0.000
0.000 0.000 3.871
Ni Zn Fe H
2 1 1 1
Direct
0.000 0.500 0.000
0.500 0.000 0.000
0.000 0.000 0.500
0.500 0.500 0.500
0.000 0.000 0.000
```

Summary:
Size of the total moment, μB per formula unit: 3.24
D(E_F), states/eV per atom: 0.92
Space group: P4/mmm, No. 123



Model b:
ZnFeNi2H: relaxed, PBE.

POSCAR file:
```
ZnFeNi2H
1.0
-3.342 -0.988 -1.047
1.034 -3.489 -0.007
-1.020 -0.309 3.546
Ni Zn Fe H
2 1 1 1
Direct
0.000 0.500 0.000
0.500 0.000 0.000
0.500 0.500 0.500
0.000 0.000 0.500
0.000 0.000 0.000
```

Summary:
Size of the total moment, μB per formula unit: 2.96
D(E_F), states/eV per atom: 0.82
Space group: P4/mmm, No. 123



Relative energy of each structure, in meV per atom: model a 135; model b 0.